# NpAlAg2O6 (PBE, relaxed)
# E_form (uncorrected) ... -1829 meV/atom
# Electronic total energy ... -7.04 eV per atom
# Volume ... 12.05 Å³/atom
data_NpAlAg2O6
_symmetry_space_group_name_H-M 'C 1 2/m 1'
_symmetry_Int_Tables_number 12
_cell_length_a 9.5302
_cell_length_b 5.6225
_cell_length_c 5.5031
_cell_angle_alpha 90.00
_cell_angle_beta 125.17
_cell_angle_gamma 90.00
loop_
_symmetry_equiv_pos_as_xyz
'x,y,z'
'-x,-y,-z'
'-x,y,-z'
'x,-y,z'
'x+1/2,y+1/2,z'
'-x+1/2,-y+1/2,-z'
'-x+1/2,y+1/2,-z'
'x+1/2,-y+1/2,z'
loop_
_atom_site_label
_atom_site_fract_x
_atom_site_fract_y
_atom_site_fract_z
Np1 0.0000 0.0000 0.0000
Al1 0.0000 0.5000 0.5000
Ag1 0.2490 0.5000 0.2573
O1 0.0416 0.2578 0.3000
O2 0.2430 0.5000 0.8239